{"formula": "Er2V2O7", "functional": "PBE with a Hubbard U", "state": "relaxed", "cell": [[3.411, -3.665, 0.000], [3.411, 3.665, 0.000], [0.000, 0.000, 5.104]], "species": ["Er", "Er", "V", "V", "O", "O", "O", "O", "O", "O", "O"], "fractional_positions": [[0.242, 0.242, 0.000], [0.758, 0.758, 0.000], [0.230, 0.770, 0.500], [0.770, 0.230, 0.500], [0.000, 0.000, 0.274], [0.000, 0.000, 0.726], [0.000, 0.500, 0.261], [0.000, 0.500, 0.739], [0.500, 0.000, 0.261], [0.500, 0.000, 0.739], [0.500, 0.500, 0.500]], "e_tot_ev_per_atom": -7.81}